Entry 1:
Here is a relaxed Cd2CuPt crystal from Alexandria. Energies are from PBE.

- Energy: -3.127 eV per atom

Lattice parameters (Å, degrees): 5.0533 5.0533 5.0533 132.68 132.68 69.15
Closest atoms and distances in Å follow each position.
Atoms (fractional coordinates):
Cd1 0.0000 0.0000 0.0000  4 Cu 2.87, 4 Cd 2.91, 4 Pt 2.91
Pt1 0.7500 0.2500 0.5000  8 Cd 2.87-2.91, 4 Cu 2.91
Cd2 0.2500 0.7500 0.5000  4 Pt 2.87, 4 Cu 2.91, 4 Cd 2.91
Cu1 0.5000 0.5000 0.0000  8 Cd 2.87-2.91, 4 Pt 2.91

***

Entry 2:
Here is a relaxed CdCuPt4 crystal from Alexandria. Energies are from PBE.

- Offset from the most stable computed form: 0.00 kcal/mol of atoms

Lattice parameters (Å, degrees): 2.8241 2.8241 11.7771 90.00 90.00 90.00
Closest atoms and distances in Å follow each position.
Atoms (fractional coordinates):
Cd1 0.0000 0.0000 0.0000  4 Cd 2.82, 8 Pt 2.91
Pt1 0.5000 0.5000 0.1792  8 Pt 2.82-2.84, 4 Cd 2.91
Pt2 0.0000 0.0000 0.3503  4 Cu 2.66, 8 Pt 2.82-2.84
Pt3 0.0000 0.0000 0.6497  4 Cu 2.66, 8 Pt 2.82-2.84
Pt4 0.5000 0.5000 0.8208  8 Pt 2.82-2.84, 4 Cd 2.91
Cu1 0.5000 0.5000 0.5000  8 Pt 2.66, 4 Cu 2.82

***

Entry 3:
Here is a relaxed Cd3CuPt crystal from Alexandria. Energies are from PBE.

- Offset from the most stable computed form: 0.00 kcal/mol of atoms

Lattice parameters (Å, degrees): 5.1943 5.1943 5.1943 90.00 90.00 90.00
Closest atoms and distances in Å follow each position.
Atoms (fractional coordinates):
Cd1 0.0000 0.5000 0.0000  2 Pt 2.60
Cd2 0.5000 0.0000 0.0000  2 Pt 2.60
Pt1 0.0000 0.0000 0.0000  6 Cd 2.60
Cu1 0.5000 0.5000 0.5000  12 Cd 3.67
Cd3 0.0000 0.0000 0.5000  2 Pt 2.60

***

Entry 4:
Here is a relaxed Cd2CuPt crystal from Alexandria. Energies are from PBE.

- Energy: -2.854 eV per atom

Lattice parameters (Å, degrees): 3.9752 3.9752 9.9375 78.46 78.46 90.00
Closest atoms and distances in Å follow each position.
Atoms (fractional coordinates):
Cd1 0.1261 0.6250 0.2500  2 Cu 2.76, 2 Pt 2.77, 4 Cd 2.80-2.82
Cd2 0.8750 0.8739 0.7500  2 Cu 2.76, 2 Pt 2.77, 4 Cd 2.80-2.82
Cu1 0.5000 0.5000 0.0000  4 Cd 2.76, 4 Pt 2.81
Pt1 0.0000 0.0000 0.0000  4 Cd 2.77, 4 Cu 2.81
Cd3 0.6239 0.1250 0.2500  2 Cu 2.76, 2 Pt 2.77, 4 Cd 2.80-2.82
Cd4 0.3750 0.3761 0.7500  2 Cu 2.76, 2 Pt 2.77, 4 Cd 2.80-2.82
Cu2 0.2500 0.7500 0.5000  4 Cd 2.76, 4 Pt 2.81
Pt2 0.7500 0.2500 0.5000  4 Cd 2.77, 4 Cu 2.81

***

Entry 5:
Here is a relaxed Cd2CuPt crystal from Alexandria. Energies are from PBE.

- Energy: -3.032 eV per atom

Lattice parameters (Å, degrees): 9.3165 9.3165 9.3165 18.21 18.21 18.21
Closest atoms and distances in Å follow each position.
Atoms (fractional coordinates):
Cd1 0.9978 0.9978 0.9978  3 Cu 2.81, 3 Pt 2.90, 6 Cd 2.95
Pt1 0.7500 0.7500 0.7500  6 Cd 2.90, 6 Pt 2.95
Cd2 0.5022 0.5022 0.5022  3 Cu 2.81, 3 Pt 2.90, 6 Cd 2.95
Cu1 0.2500 0.2500 0.2500  6 Cd 2.81, 6 Cu 2.95

***

Entry 6:
Here is a relaxed CdCu4Pt3 crystal from Alexandria. Energies are from PBE.

- Energy: -4.586 eV per atom

Lattice parameters (Å, degrees): 4.5854 5.6705 8.8543 90.00 90.00 90.00
Closest atoms and distances in Å follow each position.
Atoms (fractional coordinates):
Pt1 0.0000 0.0000 0.5000  8 Cu 2.66-2.67, 2 Pt 2.77, 2 Cd 2.84
Pt2 0.3863 0.5000 0.2500  8 Cu 2.64-2.83, 2 Cd 2.83, 2 Pt 2.84
Cd1 0.0000 0.5000 0.0000  8 Cu 2.73-2.74, 4 Pt 2.83-2.84
Cu1 0.5000 0.2381 0.0000  6 Pt 2.66-2.72, 4 Cu 2.70-2.97, 2 Cd 2.73
Pt3 0.3644 0.0000 0.2500  8 Cu 2.64-2.67, 4 Pt 2.77-2.84
Pt4 0.6356 0.0000 0.7500  8 Cu 2.64-2.67, 4 Pt 2.77-2.84
Cu2 0.8607 0.2370 0.2500  6 Pt 2.64-2.83, 3 Cu 2.69-2.76, 2 Cd 2.74
Cu3 0.1393 0.7630 0.7500  6 Pt 2.64-2.83, 3 Cu 2.69-2.76, 2 Cd 2.74
Cu4 0.5000 0.7619 0.5000  6 Pt 2.66-2.72, 4 Cu 2.70-2.97, 2 Cd 2.73
Pt5 0.6137 0.5000 0.7500  8 Cu 2.64-2.83, 2 Cd 2.83, 2 Pt 2.84
Pt6 0.0000 0.0000 0.0000  8 Cu 2.66-2.67, 2 Pt 2.77, 2 Cd 2.84
Cu5 0.5000 0.7619 0.0000  6 Pt 2.66-2.72, 4 Cu 2.70-2.97, 2 Cd 2.73
Cu6 0.8607 0.7630 0.2500  6 Pt 2.64-2.83, 3 Cu 2.69-2.76, 2 Cd 2.74
Cd2 0.0000 0.5000 0.5000  8 Cu 2.73-2.74, 4 Pt 2.83-2.84
Cu7 0.5000 0.2381 0.5000  6 Pt 2.66-2.72, 4 Cu 2.70-2.97, 2 Cd 2.73
Cu8 0.1393 0.2370 0.7500  6 Pt 2.64-2.83, 3 Cu 2.69-2.76, 2 Cd 2.74

***

Entry 7:
Here is a relaxed Cd4CuPt2 crystal from Alexandria. Energies are from PBE.

- Energy: -2.621 eV per atom

Lattice parameters (Å, degrees): 4.9587 4.9587 7.4926 70.68 70.68 90.00
Closest atoms and distances in Å follow each position.
Atoms (fractional coordinates):
Cd1 0.5000 0.0000 0.0000  2 Cu 2.48
Cd2 0.1967 0.1967 0.6066  1 Cu 2.61, 1 Pt 2.65
Pt1 0.3965 0.3965 0.2070  5 Cd 2.65-2.83, 1 Pt 2.74
Cu1 0.0000 0.0000 0.0000  6 Cd 2.48-2.61
Cd3 0.0000 0.5000 0.0000  2 Cu 2.48
Cd4 0.8033 0.8033 0.3934  1 Cu 2.61, 1 Pt 2.65
Pt2 0.6035 0.6035 0.7930  5 Cd 2.65-2.83, 1 Pt 2.74

***

Entry 8:
Here is a relaxed Cd2CuPt crystal from Alexandria. Energies are from PBE.

- Energy: -3.136 eV per atom

Lattice parameters (Å, degrees): 4.2445 4.2445 3.8079 90.00 90.00 90.00
Closest atoms and distances in Å follow each position.
Atoms (fractional coordinates):
Pt1 0.0000 0.5000 0.5000  8 Cd 2.85, 4 Cu 3.00
Cu1 0.5000 0.0000 0.5000  8 Cd 2.85, 4 Pt 3.00
Cd1 0.5000 0.5000 0.0000  4 Cu 2.85, 4 Pt 2.85, 4 Cd 3.00
Cd2 0.0000 0.0000 0.0000  4 Cu 2.85, 4 Pt 2.85, 4 Cd 3.00

***

Entry 9:
Here is a relaxed CdCu2Pt2 crystal from Alexandria. Energies are from PBE.

- Offset from the most stable computed form: 0.85 kcal/mol of atoms

Lattice parameters (Å, degrees): 2.8347 2.8497 9.7563 81.60 90.00 90.00
Closest atoms and distances in Å follow each position.
Atoms (fractional coordinates):
Pt1 0.5000 0.3912 0.2176  4 Cu 2.65, 4 Pt 2.83-2.85, 4 Cd 2.91
Cd1 0.0000 0.0000 0.0000  4 Cd 2.83-2.85, 8 Pt 2.91
Cu1 0.0000 0.8021 0.3957  2 Cu 2.47, 4 Pt 2.65
Cu2 0.0000 0.1979 0.6043  2 Cu 2.47, 4 Pt 2.65
Pt2 0.5000 0.6088 0.7824  4 Cu 2.65, 4 Pt 2.83-2.85, 4 Cd 2.91

***

Entry 10:
Here is a relaxed Cd6CuPt5 crystal from Alexandria. Energies are from PBE.

- Energy: -3.580 eV per atom

Lattice parameters (Å, degrees): 4.1890 7.9155 6.6642 90.00 71.68 90.00
Closest atoms and distances in Å follow each position.
Atoms (fractional coordinates):
Cd1 0.8332 0.2490 0.3336  7 Pt 2.88-2.93, 1 Cu 2.89, 4 Cd 2.97
Pt1 0.6666 0.5000 0.6668  8 Cd 2.89-2.90, 4 Pt 2.97
Cd2 0.5000 0.2508 0.0000  6 Pt 2.85-2.89, 2 Cu 2.89, 4 Cd 2.97
Pt2 0.3334 0.5000 0.3332  8 Cd 2.89-2.90, 4 Pt 2.97
Cd3 0.8332 0.7510 0.3336  7 Pt 2.88-2.93, 1 Cu 2.89, 4 Cd 2.97
Pt3 0.3382 0.0000 0.3236  8 Cd 2.85-2.93, 2 Cu 2.93, 2 Pt 3.06
Cu1 0.0000 0.0000 0.0000  8 Cd 2.89, 4 Pt 2.93
Pt4 0.0000 0.5000 0.0000  8 Cd 2.88-2.90, 4 Pt 2.97
Cd4 0.1668 0.2490 0.6664  7 Pt 2.88-2.93, 1 Cu 2.89, 4 Cd 2.97
Pt5 0.6618 0.0000 0.6764  8 Cd 2.85-2.93, 2 Cu 2.93, 2 Pt 3.06
Cd5 0.1668 0.7510 0.6664  7 Pt 2.88-2.93, 1 Cu 2.89, 4 Cd 2.97
Cd6 0.5000 0.7492 0.0000  6 Pt 2.85-2.89, 2 Cu 2.89, 4 Cd 2.97

***

Entry 11:
Here is a relaxed CdCu3Pt crystal from Alexandria. Energies are from PBE.

- Offset from the most stable computed form: 12.71 kcal/mol of atoms

Lattice parameters (Å, degrees): 4.6430 4.6430 4.6430 90.00 90.00 90.00
Closest atoms and distances in Å follow each position.
Atoms (fractional coordinates):
Cu1 0.0000 0.0000 0.5000  2 Cd 2.32
Cu2 0.0000 0.5000 0.0000  2 Cd 2.32
Cu3 0.5000 0.0000 0.0000  2 Cd 2.32
Pt1 0.5000 0.5000 0.5000  12 Cu 3.28
Cd1 0.0000 0.0000 0.0000  6 Cu 2.32

***

Entry 12:
Here is a relaxed Cd2CuPt crystal from Alexandria. Energies are from PBE.

- Energy: -3.007 eV per atom

Lattice parameters (Å, degrees): 9.7431 9.7431 9.7431 17.20 17.20 17.20
Closest atoms and distances in Å follow each position.
Atoms (fractional coordinates):
Cd1 0.0074 0.0074 0.0074  6 Cd 2.91, 3 Pt 2.94
Cu1 0.4952 0.4952 0.4952  3 Pt 2.64, 3 Cd 2.80, 6 Cu 2.91
Pt1 0.7578 0.7578 0.7578  3 Cu 2.64, 6 Pt 2.91, 3 Cd 2.94
Cd2 0.2397 0.2397 0.2397  3 Cu 2.80, 6 Cd 2.91

***

Entry 13:
Here is a relaxed CdCu2Pt2 crystal from Alexandria. Energies are from PBE.

- Offset from the most stable computed form: 0.09 kcal/mol of atoms

Lattice parameters (Å, degrees): 7.3464 7.3464 2.9077 90.00 90.00 90.00
Closest atoms and distances in Å follow each position.
Atoms (fractional coordinates):
Pt1 0.1354 0.3646 0.0000  6 Cu 2.56-2.63, 1 Pt 2.81, 2 Cd 2.86
Cu1 0.8384 0.3384 0.5000  6 Pt 2.56-2.63
Pt2 0.3646 0.8646 0.0000  6 Cu 2.56-2.63, 1 Pt 2.81, 2 Cd 2.86
Cd1 0.5000 0.5000 0.0000  4 Pt 2.86, 2 Cd 2.91, 8 Cu 3.12
Cd2 0.0000 0.0000 0.0000  4 Pt 2.86, 2 Cd 2.91, 8 Cu 3.12
Cu2 0.3384 0.1616 0.5000  6 Pt 2.56-2.63
Cu3 0.6616 0.8384 0.5000  6 Pt 2.56-2.63
Pt3 0.8646 0.6354 0.0000  6 Cu 2.56-2.63, 1 Pt 2.81, 2 Cd 2.86
Pt4 0.6354 0.1354 0.0000  6 Cu 2.56-2.63, 1 Pt 2.81, 2 Cd 2.86
Cu4 0.1616 0.6616 0.5000  6 Pt 2.56-2.63

***

Record order is preserved below.
Size of the total moment: 0.00 0.00 0.00 0.00 0.00 0.00 0.00 0.00 0.00 0.00 0.00 0.00 0.00 μB per formula unit